## Si2NiMo (PBE)

Data for crystalline Si2NiMo at its relaxed geometry.

Properties
N(E_F)	5.707	states/eV/cell
formation energy (no corrections)	-0.725	eV per formula unit

Cell lengths 3.3201, 4.2060, 7.4323 Å; angles 90.00, 90.00, 90.00 degrees
Last column: nearest neighbours and their distance in Å.
Space group Immm (No. 71)
Unique sites:
Si 0.0000 0.0000 0.2358 x4  2 Ni 2.41, 2 Mo 2.57, 4 Si 2.69
Ni 0.0000 0.5000 0.5000 x2  4 Si 2.41, 4 Mo 2.68
Mo 0.0000 0.5000 0.0000 x2  8 Si 2.57-2.74, 4 Ni 2.68

***

## SiNi2Mo (PBE)

Data for crystalline SiNi2Mo at its relaxed geometry.

Properties
N(E_F)	2.131	states/eV/cell
formation energy (no corrections)	-0.904	eV per formula unit

Cell lengths 2.6761, 3.9062, 4.9010 Å; angles 90.00, 102.29, 90.00 degrees
Last column: nearest neighbours and their distance in Å.
Space group P2/m (No. 10)
Unique sites:
Si 0.0000 0.0000 0.0000 x1  4 Ni 2.35, 2 Mo 2.53
Ni 0.1353 0.5000 0.7602 x2  2 Si 2.35, 2 Ni 2.50-2.60
Mo 0.5000 0.0000 0.5000 x1  2 Si 2.53, 8 Ni 2.63-2.72, 2 Mo 2.68

***

## SiNiMo2 (PBE)

Data for crystalline SiNiMo2 at its relaxed geometry.

Properties
N(E_F)	2.335	states/eV/cell
formation energy (no corrections)	-0.342	eV per formula unit

Cell lengths 2.7238, 3.9893, 5.0864 Å; angles 90.00, 90.00, 90.00 degrees
Last column: nearest neighbours and their distance in Å.
Space group Pmmm (No. 47)
Unique sites:
Si 0.0000 0.0000 0.0000 x1  2 Ni 2.54, 2 Si 2.72, 8 Mo 2.73
Ni 0.0000 0.0000 0.5000 x1  2 Si 2.54, 2 Ni 2.72, 8 Mo 2.73
Mo 0.5000 0.5000 0.2499 x2  4 Mo 2.54-2.72, 4 Si 2.73, 4 Ni 2.73

***

## SiNiMo2 (PBE)

Data for crystalline SiNiMo2 at its relaxed geometry.

Properties
N(E_F)	3.740	states/eV/cell
formation energy (no corrections)	-0.315	eV per formula unit

Cell lengths 4.4812, 4.4812, 2.7337 Å; angles 90.00, 90.00, 90.00 degrees
Last column: nearest neighbours and their distance in Å.
Space group P4/mmm (No. 123)
Unique sites:
Si 0.0000 0.0000 0.0000 x1  8 Mo 2.62, 2 Si 2.73
Ni 0.5000 0.5000 0.0000 x1  8 Mo 2.62, 2 Ni 2.73
Mo 0.0000 0.5000 0.5000 x2  4 Ni 2.62, 4 Si 2.62, 2 Mo 2.73

***

## SiNiMo2 (PBE)

Data for crystalline SiNiMo2 at its relaxed geometry.

Properties
N(E_F)	5.238	states/eV/cell
formation energy (no corrections)	-0.715	eV per formula unit

Cell lengths 9.4044, 2.6749, 4.5827 Å; angles 90.00, 108.65, 90.00 degrees
Last column: nearest neighbours and their distance in Å.
Space group Cm (No. 8)
Unique sites:
Si 0.0000 0.0000 0.0000 x2  2 Ni 2.37, 2 Mo 2.63
Ni 0.2983 0.0000 0.7015 x2  2 Si 2.37, 2 Mo 2.61
Mo 0.0471 0.5000 0.5343 x2  3 Ni 2.61-2.68, 4 Si 2.67-2.70, 3 Mo 2.67-2.91
Mo 0.2537 0.5000 0.1778 x2  3 Si 2.63-2.69, 4 Ni 2.66-2.70, 3 Mo 2.67-2.91

***

## SiNi2MoW (PBE)

Data for crystalline SiNi2MoW at its relaxed geometry.

Properties
N(E_F)	5.164	states/eV/cell
formation energy (no corrections)	8.572	eV per formula unit

Cell lengths 4.4701, 4.4701, 4.7144 Å; angles 90.00, 90.00, 90.00 degrees
Last column: nearest neighbours and their distance in Å.
Space group P4/mmm (No. 123)
Unique sites:
Si 0.0000 0.0000 0.0000 x1  4 W 3.16, 8 Ni 3.25
Ni 0.0000 0.5000 0.5000 x2  2 Mo 2.24
Mo 0.5000 0.5000 0.5000 x1  4 Ni 2.24, 2 W 2.36
W 0.5000 0.5000 0.0000 x1  2 Mo 2.36

***

## NiSnMo3 (PBE)

Data for crystalline NiSnMo3 at its relaxed geometry.

Properties
N(E_F)	8.234	states/eV/cell
energy above the most stable polymorph in this dataset	1449	meV per atom
formation enthalpy at 0 K	2.5356	eV per atom

Cell lengths 4.8684, 4.8684, 4.8684 Å; angles 90.00, 90.00, 90.00 degrees
Last column: nearest neighbours and their distance in Å.
Space group Pm-3m (No. 221)
Unique sites:
Ni 0.0000 0.0000 0.0000 x1  12 Mo 3.44
Sn 0.5000 0.5000 0.5000 x1  6 Mo 2.43
Mo 0.0000 0.5000 0.5000 x3  2 Sn 2.43

***

## Ni3SnMo (PBE)

Data for crystalline Ni3SnMo at its relaxed geometry.

Properties
N(E_F)	5.546	states/eV/cell
energy above the most stable polymorph in this dataset	0	meV per atom
formation enthalpy at 0 K	1.0946	eV per atom

Cell lengths 4.5427, 4.5427, 4.5427 Å; angles 90.00, 90.00, 90.00 degrees
Last column: nearest neighbours and their distance in Å.
Space group Pm-3m (No. 221)
Unique sites:
Ni 0.0000 0.0000 0.5000 x3  2 Mo 2.27
Sn 0.5000 0.5000 0.5000 x1  12 Ni 3.21
Mo 0.0000 0.0000 0.0000 x1  6 Ni 2.27

***

## NiSn3Mo (PBE)

Data for crystalline NiSn3Mo at its relaxed geometry.

Properties
N(E_F)	3.769	states/eV/cell
energy above the most stable polymorph in this dataset	0	meV per atom
formation enthalpy at 0 K	0.7369	eV per atom

Cell lengths 4.9362, 4.9362, 4.9362 Å; angles 90.00, 90.00, 90.00 degrees
Last column: nearest neighbours and their distance in Å.
Space group Pm-3m (No. 221)
Unique sites:
Ni 0.0000 0.0000 0.0000 x1  6 Sn 2.47
Sn 0.0000 0.0000 0.5000 x3  2 Ni 2.47
Mo 0.5000 0.5000 0.5000 x1  12 Sn 3.49

***

## Ni4SnMo (PBE)

Data for crystalline Ni4SnMo at its relaxed geometry.

Properties
N(E_F)	31.151	states/eV/cell
formation enthalpy at 0 K	0.0394	eV per atom

Cell lengths 6.7995, 6.7995, 6.7995 Å; angles 90.00, 90.00, 90.00 degrees
Last column: nearest neighbours and their distance in Å.
Space group F-43m (No. 216)
Unique sites:
Ni 0.1242 0.1242 0.3758 x16  6 Ni 2.39-2.42
Sn 0.0000 0.0000 0.0000 x4  12 Ni 2.82, 4 Mo 2.94
Mo 0.2500 0.2500 0.7500 x4  12 Ni 2.82, 4 Sn 2.94

***

## Ni2SnMo (PBE)

Data for crystalline Ni2SnMo at its relaxed geometry.

Properties
N(E_F)	13.962	states/eV/cell
formation enthalpy at 0 K	0.5105	eV per atom

Cell lengths 3.8872, 3.8872, 17.2529 Å; angles 90.00, 90.00, 90.00 degrees
Last column: nearest neighbours and their distance in Å.
Space group I-42d (No. 122)
Unique sites:
Ni 0.2251 0.2500 0.1250 x8  2 Mo 2.52, 2 Sn 2.60, 2 Ni 2.62
Sn 0.0000 0.0000 0.5000 x4  4 Ni 2.60, 4 Mo 2.75
Mo 0.0000 0.0000 0.0000 x4  4 Ni 2.52, 4 Sn 2.75

***

## NiSnMo (PBE)

Data for crystalline NiSnMo at its relaxed geometry.

Properties
N(E_F)	9.011	states/eV/cell
formation enthalpy at 0 K	0.3107	eV per atom

Cell lengths 12.3667, 2.9667, 5.4004 Å; angles 90.00, 90.00, 90.00 degrees
Last column: nearest neighbours and their distance in Å.
Space group Amm2 (No. 38)
Unique sites:
Ni 0.1544 0.0000 0.0000 x4  3 Mo 2.58-2.60, 3 Sn 2.68
Sn 0.3178 0.0000 0.6737 x4  3 Ni 2.68, 3 Mo 2.85-2.86, 2 Sn 2.97
Mo 0.0000 0.0000 0.6783 x2  6 Ni 2.58-2.60
Mo 0.5000 0.0000 0.0004 x2  6 Sn 2.85-2.86, 6 Mo 2.97-3.08

***

## NiSnMo3 (PBE)

Data for crystalline NiSnMo3 at its relaxed geometry.

Properties
N(E_F)	7.807	states/eV/cell
energy above the most stable polymorph in this dataset	0	meV per atom
formation enthalpy at 0 K	1.0862	eV per atom

Cell lengths 4.5198, 4.5198, 4.5198 Å; angles 90.00, 90.00, 90.00 degrees
Last column: nearest neighbours and their distance in Å.
Space group Pm-3m (No. 221)
Unique sites:
Ni 0.0000 0.0000 0.0000 x1  6 Mo 2.26
Sn 0.5000 0.5000 0.5000 x1  12 Mo 3.20
Mo 0.0000 0.0000 0.5000 x3  2 Ni 2.26

***

## NiSnMo2 (PBE)

Data for crystalline NiSnMo2 at its relaxed geometry.

Properties
N(E_F)	18.316	states/eV/cell
formation enthalpy at 0 K	0.5798	eV per atom

Cell lengths 7.2365, 7.2365, 5.2024 Å; angles 90.00, 90.00, 90.00 degrees
Last column: nearest neighbours and their distance in Å.
Space group I-42d (No. 122)
Unique sites:
Ni 0.0000 0.0000 0.0000 x4  4 Mo 2.48, 2 Sn 2.60
Sn 0.0000 0.0000 0.5000 x4  2 Ni 2.60, 4 Mo 2.82
Mo 0.2157 0.2500 0.1250 x8  2 Ni 2.48, 2 Mo 2.65